[1]
Entry from Alexandria: crystalline La2ZrCl2 at its relaxed geometry (GGA-PBE).

Lattice parameters (Å, degrees): 4.4011 4.4011 8.4432 74.89 74.89 90.00
Last column: nearest neighbours and their distance in Å.
Element x y z (fractional)
Cl 0.7500 0.2500 0.5000  4 La 2.98, 4 Cl 3.11
Cl 0.2500 0.7500 0.5000  4 La 2.98, 4 Cl 3.11
Zr 0.0000 0.0000 0.0000  8 La 3.66
La 0.3777 0.3777 0.2446  4 Cl 2.98
La 0.6223 0.6223 0.7554  4 Cl 2.98

## Properties
uncorrected energy: -26.08 eV/f.u.
M_tot: 0.8350 μB per atom
offset from the most stable computed form: 0.000 eV/f.u.
Fermi-level density of states: 0.91 states/eV per atom
mass density: 4.81 g/cm3
ΔE_f (raw): -18.354 kcal/mol of atoms


[2]
Entry from Alexandria: crystalline Li7Cl6 at its relaxed geometry (GGA-PBE).

Lattice parameters (Å, degrees): 10.2808 10.2808 10.2808 32.96 32.96 32.96
Last column: nearest neighbours and their distance in Å.
Element x y z (fractional)
Cl 0.2153 0.2153 0.2153  3 Li 2.32
Cl 0.3382 0.3382 0.3382  6 Li 2.39-2.51
Cl 0.9342 0.9342 0.9342  6 Li 2.92
Cl 0.0658 0.0658 0.0658  6 Li 2.92
Cl 0.7847 0.7847 0.7847  3 Li 2.32
Cl 0.6618 0.6618 0.6618  6 Li 2.39-2.51
Li 0.5675 0.0476 0.5675  3 Cl 2.32-2.51
Li 0.5675 0.5675 0.0476  3 Cl 2.32-2.51
Li 0.5000 0.5000 0.5000  6 Li 3.54, 6 Cl 3.65
Li 0.4325 0.9524 0.4325  3 Cl 2.32-2.51
Li 0.4325 0.4325 0.9524  3 Cl 2.32-2.51
Li 0.9524 0.4325 0.4325  3 Cl 2.32-2.51
Li 0.0476 0.5675 0.5675  3 Cl 2.32-2.51

## Properties
uncorrected energy: -42.07 eV/f.u.
M_tot: 0.0772 μB per atom
Fermi-level density of states: 0.20 states/eV per atom
mass density: 1.52 g/cm3
ΔE_f (raw): -31.213 kcal/mol of atoms


[3]
Entry from Alexandria: crystalline LiCl at its relaxed geometry (GGA-PBE).

Lattice parameters (Å, degrees): 6.4106 6.4106 6.1383 61.38 61.38 30.74
Last column: nearest neighbours and their distance in Å.
Element x y z (fractional)
Cl 0.7172 0.7172 0.8285  3 Li 2.37-2.48
Cl 0.5555 0.5555 0.4805  6 Li 2.61-2.64
Cl 0.3937 0.3937 0.1522  3 Li 2.37-2.48
Li 0.9041 0.9041 0.4358  5 Cl 2.37-2.64
Li 0.2070 0.2070 0.1333  5 Cl 2.37-2.64
Li 0.0559 0.0559 0.8031  6 Cl 2.61-2.69

## Properties
uncorrected energy: -7.24 eV/f.u.
M_tot: 0.0000 μB per atom
Fermi-level density of states: 0.00 states/eV per atom
mass density: 1.89 g/cm3
ΔE_f (raw): -40.112 kcal/mol of atoms


[4]
Entry from Alexandria: crystalline Li2Cl3 at its relaxed geometry (GGA-PBE).

Lattice parameters (Å, degrees): 5.9899 5.9899 7.2286 65.52 65.52 60.00
Last column: nearest neighbours and their distance in Å.
Element x y z (fractional)
Cl 0.9277 0.2500 0.2500  4 Li 2.52-2.56
Cl 0.5723 0.9277 0.2500  4 Li 2.52-2.56
Cl 0.0723 0.7500 0.7500  4 Li 2.52-2.56
Cl 0.4277 0.0723 0.7500  4 Li 2.52-2.56
Cl 0.7500 0.4277 0.7500  4 Li 2.52-2.56
Cl 0.2500 0.5723 0.2500  4 Li 2.52-2.56
Li 0.8386 0.8386 0.4843  6 Cl 2.52-2.56
Li 0.1614 0.1614 0.5157  6 Cl 2.52-2.56
Li 0.3386 0.3386 0.9843  6 Cl 2.52-2.56
Li 0.6614 0.6614 0.0157  6 Cl 2.52-2.56

## Properties
uncorrected energy: -15.52 eV/f.u.
M_tot: 0.1551 μB per atom
offset from the most stable computed form: 0.000 eV/f.u.
Fermi-level density of states: 1.03 states/eV per atom
mass density: 2.02 g/cm3
ΔE_f (raw): -28.382 kcal/mol of atoms


[5]
Entry from Alexandria: crystalline LiCl at its relaxed geometry (GGA-PBE).

Lattice parameters (Å, degrees): 4.8589 4.8589 4.8589 60.00 60.00 60.00
Last column: nearest neighbours and their distance in Å.
Element x y z (fractional)
Cl 0.2500 0.2500 0.2500  4 Li 2.98, 4 Cl 2.98
Cl 0.0000 0.0000 0.0000  4 Li 2.98, 4 Cl 2.98
Li 0.5000 0.5000 0.5000  4 Cl 2.98, 4 Li 2.98
Li 0.7500 0.7500 0.7500  4 Li 2.98, 4 Cl 2.98

## Properties
uncorrected energy: -5.66 eV/f.u.
M_tot: 0.0000 μB per atom
Fermi-level density of states: 0.00 states/eV per atom
mass density: 1.74 g/cm3
ΔE_f (raw): -21.956 kcal/mol of atoms


[6]
Entry from Alexandria: crystalline LiCl4 at its relaxed geometry (GGA-PBE).

Lattice parameters (Å, degrees): 4.8706 4.8706 4.8706 90.00 90.00 90.00
Last column: nearest neighbours and their distance in Å.
Element x y z (fractional)
Cl 0.0000 0.0000 0.0000  12 Cl 3.44
Cl 0.5000 0.0000 0.5000  2 Li 2.44
Cl 0.5000 0.5000 0.0000  2 Li 2.44
Cl 0.0000 0.5000 0.5000  2 Li 2.44
Li 0.5000 0.5000 0.5000  6 Cl 2.44

## Properties
uncorrected energy: -9.93 eV/f.u.
M_tot: 0.6058 μB per atom
offset from the most stable computed form: 2.282 eV/f.u.
Fermi-level density of states: 0.92 states/eV per atom
mass density: 2.14 g/cm3
ΔE_f (raw): -2.910 kcal/mol of atoms


[7]
Entry from Alexandria: crystalline LiCl at its relaxed geometry (GGA-PBE).

Lattice parameters (Å, degrees): 9.3153 9.3153 4.0542 90.00 90.00 120.00
Last column: nearest neighbours and their distance in Å.
Element x y z (fractional)
Cl 0.6850 0.5961 0.2500  4 Li 2.36-2.44
Cl 0.4039 0.0889 0.2500  4 Li 2.36-2.44
Cl 0.9111 0.3150 0.2500  4 Li 2.36-2.44
Cl 0.3150 0.4039 0.7500  4 Li 2.36-2.44
Cl 0.0889 0.6850 0.7500  4 Li 2.36-2.44
Cl 0.5961 0.9111 0.7500  4 Li 2.36-2.44
Li 0.3459 0.9342 0.7500  4 Cl 2.36-2.44
Li 0.9342 0.5883 0.2500  4 Cl 2.36-2.44
Li 0.6541 0.0658 0.2500  4 Cl 2.36-2.44
Li 0.5883 0.6541 0.7500  4 Cl 2.36-2.44
Li 0.0658 0.4117 0.7500  4 Cl 2.36-2.44
Li 0.4117 0.3459 0.2500  4 Cl 2.36-2.44

## Properties
uncorrected energy: -7.38 eV/f.u.
M_tot: 0.0000 μB per atom
Fermi-level density of states: 0.00 states/eV per atom
mass density: 1.39 g/cm3
ΔE_f (raw): -41.684 kcal/mol of atoms


[8]
Entry from Alexandria: crystalline LiCl4 at its relaxed geometry (GGA-PBE).

Lattice parameters (Å, degrees): 5.2825 5.2825 5.2825 109.47 109.47 109.47
Last column: nearest neighbours and their distance in Å.
Element x y z (fractional)
Cl 0.5000 0.0000 0.0000  2 Li 2.64
Cl 0.5000 0.5000 0.5000  2 Li 2.64
Cl 0.0000 0.0000 0.5000  2 Li 2.64
Cl 0.0000 0.5000 0.0000  2 Li 2.64
Li 0.0000 0.0000 0.0000  8 Cl 2.64

## Properties
uncorrected energy: -10.24 eV/f.u.
M_tot: 0.3179 μB per atom
offset from the most stable computed form: 1.975 eV/f.u.
Fermi-level density of states: 1.37 states/eV per atom
mass density: 2.18 g/cm3
ΔE_f (raw): -4.328 kcal/mol of atoms


[9]
Entry from Alexandria: crystalline Li3Cl at its relaxed geometry (GGA-PBE).

Lattice parameters (Å, degrees): 7.3756 7.3756 3.8227 90.00 90.00 116.98
Last column: nearest neighbours and their distance in Å.
Element x y z (fractional)
Li 0.0794 0.9206 0.2500  1 Cl 2.28
Li 0.5963 0.7971 0.2500  1 Cl 2.31
Li 0.2029 0.4037 0.2500  1 Cl 2.31
Li 0.9206 0.0794 0.7500  1 Cl 2.28
Li 0.4037 0.2029 0.7500  1 Cl 2.31
Li 0.7971 0.5963 0.7500  1 Cl 2.31
Cl 0.7393 0.2607 0.7500  3 Li 2.28-2.31
Cl 0.2607 0.7393 0.2500  3 Li 2.28-2.31

## Properties
uncorrected energy: -10.41 eV/f.u.
M_tot: 0.0000 μB per atom
offset from the most stable computed form: 0.284 eV/f.u.
Fermi-level density of states: 0.29 states/eV per atom
mass density: 1.01 g/cm3
ΔE_f (raw): -16.255 kcal/mol of atoms


[10]
Entry from Alexandria: crystalline Li3Cl5 at its relaxed geometry (GGA-PBE).

Lattice parameters (Å, degrees): 10.7855 10.7855 4.6637 90.00 90.00 120.00
Last column: nearest neighbours and their distance in Å.
Element x y z (fractional)
Cl 0.7591 0.0000 0.7500  4 Li 2.35-2.45
Cl 0.7591 0.7591 0.2500  4 Li 2.35-2.45
Cl 0.6667 0.3333 0.0000  2 Cl 2.33
Cl 0.2409 0.2409 0.7500  4 Li 2.35-2.45
Cl 0.3333 0.6667 0.0000  2 Cl 2.33
Cl 0.0000 0.7591 0.7500  4 Li 2.35-2.45
Cl 0.2409 0.0000 0.2500  4 Li 2.35-2.45
Cl 0.0000 0.2409 0.2500  4 Li 2.35-2.45
Cl 0.3333 0.6667 0.5000  2 Cl 2.33
Cl 0.6667 0.3333 0.5000  2 Cl 2.33
Li 0.7887 0.0000 0.2500  4 Cl 2.35-2.45
Li 0.2113 0.0000 0.7500  4 Cl 2.35-2.45
Li 0.0000 0.7887 0.2500  4 Cl 2.35-2.45
Li 0.2113 0.2113 0.2500  4 Cl 2.35-2.45
Li 0.0000 0.2113 0.7500  4 Cl 2.35-2.45
Li 0.7887 0.7887 0.7500  4 Cl 2.35-2.45

## Properties
uncorrected energy: -24.93 eV/f.u.
M_tot: 0.0004 μB per atom
offset from the most stable computed form: 0.000 eV/f.u.
Fermi-level density of states: 1.01 states/eV per atom
mass density: 1.40 g/cm3
ΔE_f (raw): -28.683 kcal/mol of atoms


What did the fifth record say?
Entry from Alexandria: crystalline LiCl at its relaxed geometry (GGA-PBE).

Lattice parameters (Å, degrees): 4.8589 4.8589 4.8589 60.00 60.00 60.00
Last column: nearest neighbours and their distance in Å.
Element x y z (fractional)
Cl 0.2500 0.2500 0.2500  4 Li 2.98, 4 Cl 2.98
Cl 0.0000 0.0000 0.0000  4 Li 2.98, 4 Cl 2.98
Li 0.5000 0.5000 0.5000  4 Cl 2.98, 4 Li 2.98
Li 0.7500 0.7500 0.7500  4 Li 2.98, 4 Cl 2.98

## Properties
uncorrected energy: -5.66 eV/f.u.
M_tot: 0.0000 μB per atom
Fermi-level density of states: 0.00 states/eV per atom
mass density: 1.74 g/cm3
ΔE_f (raw): -21.956 kcal/mol of atoms